Record 1
A geometry-optimized ScCr2FePt structure. Source: the Alexandria database, functional PBE-GGA.

Values from the calculation:
- Calculated formation energy: 1.7954 eV per atom
- Calculated density: 6.94 g/cm3
- N(E_F): 8.4 states/eV per cell
- Space group: P4/mmm (123)
- Size of the total moment: 1.345 μB per atom

Cell lengths 4.528, 4.664, 4.528 Å; angles 90.00, 90.00, 90.00 degrees
Atoms (fractional coordinates):
Fe (0.500, 0.500, 0.500)
Sc (0.000, 0.000, 0.000)
Cr (0.500, 0.000, 0.000)
Cr (0.000, 0.000, 0.500)
Pt (0.000, 0.500, 0.000)

***

Record 2
A geometry-optimized Cr2FeTePt structure. Source: the Alexandria database, functional PBE-GGA.

Values from the calculation:
- Formation energy (no corrections): 9.0 eV/f.u.
- Calculated density: 8.43 g/cm3
- N(E_F): 10.3 states/eV per cell
- Space group: P4/mmm (123)
- Size of the total moment: 0.001 μB per atom

Cell lengths 4.611, 4.470, 4.611 Å; angles 90.00, 90.00, 90.00 degrees
Atoms (fractional coordinates):
Fe (0.000, 0.500, 0.000)
Pt (0.500, 0.500, 0.500)
Cr (0.000, 0.000, 0.500)
Cr (0.500, 0.000, 0.000)
Te (0.000, 0.000, 0.000)

***

Record 3
A geometry-optimized CrFe2TePt structure. Source: the Alexandria database, functional PBE-GGA.

Values from the calculation:
- Formation energy (no corrections): 8.2 eV/f.u.
- Calculated density: 7.59 g/cm3
- N(E_F): 12.7 states/eV per cell
- Space group: P4/mmm (123)
- Size of the total moment: 1.070 μB per atom

Cell lengths 4.662, 4.895, 4.662 Å; angles 90.00, 90.00, 90.00 degrees
Atoms (fractional coordinates):
Cr (0.500, 0.500, 0.500)
Fe (0.000, 0.000, 0.500)
Fe (0.500, 0.000, 0.000)
Pt (0.000, 0.500, 0.000)
Te (0.000, 0.000, 0.000)

***

Record 4
A geometry-optimized TlCr2FePt structure. Source: the Alexandria database, functional PBE-GGA.

Values from the calculation:
- Calculated formation energy: 1.3187 eV per atom
- Calculated density: 7.41 g/cm3
- N(E_F): 9.0 states/eV per cell
- Space group: P4/mmm (123)
- Size of the total moment: 2.346 μB per atom

Cell lengths 4.916, 5.184, 4.916 Å; angles 90.00, 90.00, 90.00 degrees
Atoms (fractional coordinates):
Tl (0.000, 0.500, 0.000)
Cr (0.000, 0.000, 0.500)
Cr (0.500, 0.000, 0.000)
Pt (0.000, 0.000, 0.000)
Fe (0.500, 0.500, 0.500)

***

Record 5
A geometry-optimized TlCrFePt2 structure. Source: the Alexandria database, functional PBE-GGA.

Values from the calculation:
- Calculated formation energy: 1.6858 eV per atom
- Calculated density: 9.19 g/cm3
- N(E_F): 5.9 states/eV per cell
- Space group: P4/mmm (123)
- Size of the total moment: 1.608 μB per atom

Cell lengths 5.042, 4.994, 5.042 Å; angles 90.00, 90.00, 90.00 degrees
Atoms (fractional coordinates):
Pt (0.500, 0.000, 0.000)
Pt (0.000, 0.000, 0.500)
Fe (0.500, 0.500, 0.500)
Tl (0.000, 0.000, 0.000)
Cr (0.000, 0.500, 0.000)

***

Record 6
A geometry-optimized V5CrFe2Pt2 structure. Source: the Alexandria database, functional PBE-GGA.

Values from the calculation:
- Calculated formation energy: -0.0500 eV per atom
- Calculated density: 10.10 g/cm3
- N(E_F): 24.9 states/eV per cell
- Space group: P4/mbm (127)
- Size of the total moment: 0.000 μB per atom

Cell lengths 2.880, 9.607, 9.607 Å; angles 90.00, 90.00, 90.00 degrees
Atoms (fractional coordinates):
Fe (0.000, 0.629, 0.871)
Fe (0.000, 0.129, 0.629)
Fe (0.000, 0.371, 0.129)
Fe (0.000, 0.871, 0.371)
Pt (0.000, 0.327, 0.827)
Pt (0.000, 0.673, 0.173)
Pt (0.000, 0.173, 0.327)
Pt (0.000, 0.827, 0.673)
V (0.500, 0.000, 0.500)
V (0.500, 0.566, 0.692)
V (0.500, 0.808, 0.934)
V (0.500, 0.500, 0.000)
V (0.500, 0.934, 0.192)
V (0.500, 0.308, 0.566)
V (0.500, 0.692, 0.434)
V (0.500, 0.066, 0.808)
V (0.500, 0.434, 0.308)
V (0.500, 0.192, 0.066)
Cr (0.000, 0.500, 0.500)
Cr (0.000, 0.000, 0.000)

***

Record 7
A geometry-optimized CrFePtW2 structure. Source: the Alexandria database, functional PBE-GGA.

Values from the calculation:
- Calculated formation energy: 1.0852 eV per atom
- Calculated density: 13.73 g/cm3
- N(E_F): 5.0 states/eV per cell
- Space group: P4/mmm (123)
- Size of the total moment: 0.001 μB per atom

Cell lengths 4.443, 4.108, 4.443 Å; angles 90.00, 90.00, 90.00 degrees
Atoms (fractional coordinates):
Fe (0.000, 0.000, 0.000)
Pt (0.500, 0.500, 0.500)
W (0.000, 0.000, 0.500)
W (0.500, 0.000, 0.000)
Cr (0.000, 0.500, 0.000)

***

Record 8
A geometry-optimized PuCrFe2 structure. Source: the Alexandria database, functional PBE-GGA.

Values from the calculation:
- Calculated formation energy: 0.1904 eV per atom
- ΔE to the lowest computed polymorph: 0.0 meV/atom
- Calculated density: 11.63 g/cm3
- N(E_F): 5.2 states/eV per cell
- Space group: P4/mmm (123)
- Size of the total moment: 0.703 μB per atom

Cell lengths 3.890, 3.867, 3.867 Å; angles 90.00, 90.00, 90.00 degrees
Atoms (fractional coordinates):
Cr (0.500, 0.000, 0.000)
Fe (0.000, 0.000, 0.500)
Fe (0.000, 0.500, 0.000)
Pu (0.500, 0.500, 0.500)

***

Record 9
A geometry-optimized Pu2CrFe structure. Source: the Alexandria database, functional PBE-GGA.

Values from the calculation:
- Calculated formation energy: 0.2054 eV per atom
- ΔE to the lowest computed polymorph: 0.0 meV/atom
- Calculated density: 13.40 g/cm3
- N(E_F): 7.3 states/eV per cell
- Space group: P4/mmm (123)
- Size of the total moment: 1.481 μB per atom

Cell lengths 3.199, 3.199, 7.219 Å; angles 90.00, 90.00, 90.00 degrees
Atoms (fractional coordinates):
Pu (0.000, 0.000, 0.758)
Pu (0.000, 0.000, 0.242)
Fe (0.500, 0.500, 0.000)
Cr (0.500, 0.500, 0.500)

***

Record 10
A geometry-optimized Pu2CrFe structure. Source: the Alexandria database, functional PBE-GGA.

Values from the calculation:
- Calculated formation energy: 0.2176 eV per atom
- ΔE to the lowest computed polymorph: 12.2 meV/atom
- Calculated density: 13.37 g/cm3
- N(E_F): 8.5 states/eV per cell
- Space group: Fm-3m (225)
- Size of the total moment: 1.381 μB per atom

Cell lengths 4.713, 4.713, 4.713 Å; angles 60.00, 60.00, 60.00 degrees
Atoms (fractional coordinates):
Pu (0.250, 0.250, 0.250)
Pu (0.750, 0.750, 0.750)
Cr (0.500, 0.500, 0.500)
Fe (0.000, 0.000, 0.000)

***

Record 11
A geometry-optimized PuCrFe4 structure. Source: the Alexandria database, functional PBE-GGA.

Values from the calculation:
- Calculated formation energy: 0.1297 eV per atom
- Calculated density: 10.21 g/cm3
- N(E_F): 9.3 states/eV per cell
- Space group: F-43m (216)
- Size of the total moment: 0.082 μB per atom

Cell lengths 4.924, 4.924, 4.924 Å; angles 60.00, 60.00, 60.00 degrees
Atoms (fractional coordinates):
Cr (0.000, 0.000, 0.000)
Fe (0.122, 0.626, 0.626)
Fe (0.626, 0.122, 0.626)
Fe (0.626, 0.626, 0.626)
Fe (0.626, 0.626, 0.122)
Pu (0.250, 0.250, 0.250)

***

Record 12
A geometry-optimized PuCrFe structure. Source: the Alexandria database, functional PBE-GGA.

Values from the calculation:
- Calculated formation energy: 0.3939 eV per atom
- Calculated density: 12.58 g/cm3
- N(E_F): 12.1 states/eV per cell
- Space group: Cmcm (63)
- Size of the total moment: 0.896 μB per atom

Cell lengths 3.283, 3.279, 8.781 Å; angles 79.24, 90.00, 90.00 degrees
Atoms (fractional coordinates):
Fe (0.750, 0.447, 0.107)
Fe (0.250, 0.553, 0.893)
Cr (0.250, 0.714, 0.573)
Cr (0.750, 0.286, 0.427)
Pu (0.750, 0.111, 0.778)
Pu (0.250, 0.889, 0.222)

***

Record 13
A geometry-optimized PuCrFe2 structure. Source: the Alexandria database, functional PBE-GGA.

Values from the calculation:
- Calculated formation energy: 0.1982 eV per atom
- ΔE to the lowest computed polymorph: 7.8 meV/atom
- Calculated density: 11.91 g/cm3
- N(E_F): 8.0 states/eV per cell
- Space group: P4/mmm (123)
- Size of the total moment: 0.632 μB per atom

Cell lengths 2.878, 2.878, 6.864 Å; angles 90.00, 90.00, 90.00 degrees
Atoms (fractional coordinates):
Fe (0.000, 0.000, 0.194)
Fe (0.000, 0.000, 0.806)
Pu (0.500, 0.500, 0.500)
Cr (0.500, 0.500, 0.000)

***

Record 14
A geometry-optimized PuUCrFe structure. Source: the Alexandria database, functional PBE-GGA.

Values from the calculation:
- Calculated formation energy: 0.0597 eV per atom
- Calculated density: 15.34 g/cm3
- N(E_F): 5.5 states/eV per cell
- Space group: F-43m (216)
- Size of the total moment: 0.045 μB per atom

Cell lengths 4.486, 4.486, 4.486 Å; angles 60.00, 60.00, 60.00 degrees
Atoms (fractional coordinates):
Cr (0.750, 0.750, 0.750)
Fe (0.500, 0.500, 0.500)
Pu (0.250, 0.250, 0.250)
U (0.000, 0.000, 0.000)

***

Record 15
A geometry-optimized PuVCrFe structure. Source: the Alexandria database, functional PBE-GGA.

Values from the calculation:
- Calculated formation energy: 0.2226 eV per atom
- Calculated density: 11.37 g/cm3
- N(E_F): 6.1 states/eV per cell
- Space group: F-43m (216)
- Size of the total moment: 0.717 μB per atom

Cell lengths 4.365, 4.365, 4.365 Å; angles 60.00, 60.00, 60.00 degrees
Atoms (fractional coordinates):
V (0.000, 0.000, 0.000)
Pu (0.500, 0.500, 0.500)
Fe (0.750, 0.750, 0.750)
Cr (0.250, 0.250, 0.250)

***

Record 16
A geometry-optimized RbCrFe2 structure. Source: the Alexandria database, functional PBE-GGA.

Values from the calculation:
- Calculated formation energy: 1.9905 eV per atom
- ΔE to the lowest computed polymorph: 351.2 meV/atom
- Calculated density: 6.71 g/cm3
- N(E_F): 8.6 states/eV per cell
- Space group: Fm-3m (225)
- Size of the total moment: 0.752 μB per atom

Cell lengths 4.436, 4.436, 4.436 Å; angles 60.00, 60.00, 60.00 degrees
Atoms (fractional coordinates):
Cr (0.000, 0.000, 0.000)
Rb (0.500, 0.500, 0.500)
Fe (0.750, 0.750, 0.750)
Fe (0.250, 0.250, 0.250)

***

Record 17
A geometry-optimized Rb2CrFe structure. Source: the Alexandria database, functional PBE-GGA.

Values from the calculation:
- Calculated formation energy: 1.4307 eV per atom
- Calculated density: 2.88 g/cm3
- N(E_F): 1.1 states/eV per cell
- Space group: Fm-3m (225)
- Size of the total moment: 2.058 μB per atom

Cell lengths 6.106, 6.106, 6.106 Å; angles 60.00, 60.00, 60.00 degrees
Atoms (fractional coordinates):
Rb (0.250, 0.250, 0.250)
Rb (0.750, 0.750, 0.750)
Fe (0.500, 0.500, 0.500)
Cr (0.000, 0.000, 0.000)

***

Record 18
A geometry-optimized RbCr3Fe structure. Source: the Alexandria database, functional PBE-GGA.

Values from the calculation:
- Calculated formation energy: 3.3749 eV per atom
- ΔE to the lowest computed polymorph: 2101.2 meV/atom
- Calculated density: 6.04 g/cm3
- N(E_F): 8.4 states/eV per cell
- Space group: Pm-3m (221)
- Size of the total moment: 0.657 μB per atom

Cell lengths 4.340, 4.340, 4.340 Å; angles 90.00, 90.00, 90.00 degrees
Atoms (fractional coordinates):
Cr (0.500, 0.000, 0.000)
Cr (0.000, 0.500, 0.000)
Cr (0.000, 0.000, 0.500)
Fe (0.500, 0.500, 0.500)
Rb (0.000, 0.000, 0.000)

***

Record 19
A geometry-optimized RbCrFe2 structure. Source: the Alexandria database, functional PBE-GGA.

Values from the calculation:
- Calculated formation energy: 1.6393 eV per atom
- ΔE to the lowest computed polymorph: 0.0 meV/atom
- Calculated density: 4.62 g/cm3
- N(E_F): 15.8 states/eV per cell
- Space group: I4_1/amd (141)
- Size of the total moment: 0.269 μB per atom

Cell lengths 5.010, 5.010, 7.971 Å; angles 71.68, 71.68, 90.00 degrees
Atoms (fractional coordinates):
Rb (0.750, 0.250, 0.500)
Rb (0.000, 0.000, 0.000)
Fe (0.375, 0.125, 0.250)
Fe (0.375, 0.625, 0.250)
Fe (0.875, 0.625, 0.750)
Fe (0.375, 0.625, 0.750)
Cr (0.250, 0.750, 0.500)
Cr (0.500, 0.500, 0.000)

***

Record 20
A geometry-optimized RbCr2Fe structure. Source: the Alexandria database, functional PBE-GGA.

Values from the calculation:
- Calculated formation energy: 1.3677 eV per atom
- ΔE to the lowest computed polymorph: 0.0 meV/atom
- Calculated density: 3.33 g/cm3
- N(E_F): 9.1 states/eV per cell
- Space group: I4_1/amd (141)
- Size of the total moment: 1.618 μB per atom

Cell lengths 5.917, 5.917, 8.149 Å; angles 68.71, 68.71, 90.00 degrees
Atoms (fractional coordinates):
Cr (0.375, 0.125, 0.250)
Cr (0.375, 0.625, 0.250)
Cr (0.375, 0.625, 0.750)
Cr (0.875, 0.625, 0.750)
Rb (0.750, 0.250, 0.500)
Rb (0.000, 0.000, 0.000)
Fe (0.250, 0.750, 0.500)
Fe (0.500, 0.500, 0.000)